A plane-wave DFT calculation with GGA-PBE was carried out for a relaxed NpB2Mo crystal.

Cell: 3.1783 3.1783 6.2788 Å, 75.34 75.34 60.00°
With the nearest neighbours (Å) after each atom.
Fractional coordinates of all 4 atoms:
B: 0.7379 0.7379 0.7863  3 Mo 2.24
B: 0.2621 0.2621 0.2137  3 Mo 2.24
Mo: 0.0000 0.0000 0.0000  6 B 2.24
Np: 0.5000 0.5000 0.5000  6 B 2.51

## Properties
As for the total energy: -37.07 eV/cell. The formation enthalpy at 0 K comes out at 0.01 eV per atom. The space group is R-3m (166).